VASP calculation (PBE with a Hubbard U) on a geometry-optimized CdNi2AgO4 structure.

Computed properties:
For the density of states at the Fermi level, the calculation gives 2.50 states/eV/f.u. The value obtained for the total energy is -4.20 eV/atom. The symmetry is Fmm2, No. 42. As for the magnetic moment: 4.2 μB/f.u.

a b c (Å): 5.5539 4.5160 5.5542
angles (deg): 66.01 47.98 66.02
Last column: nearest neighbours and their distance in Å.
Sites, in units of the cell vectors:
Cd: 0.0000 0.0000 0.0000  6 O 2.26
Ni: 0.2502 0.2502 0.2498  6 O 2.25-2.27
Ni: 0.7502 0.7502 0.7498  6 O 2.25-2.27
Ag: 0.5000 0.5000 0.5000  6 O 2.26-2.28
O: 0.9999 0.5000 0.0001  2 Ag 2.26, 2 Cd 2.26, 2 Ni 2.27
O: 0.2479 0.7505 0.2495  4 Ni 2.25-2.26, 1 Cd 2.26, 1 Ag 2.28
O: 0.5000 0.9999 0.5000  2 Ag 2.26, 2 Cd 2.26, 2 Ni 2.27
O: 0.7505 0.2479 0.7521  4 Ni 2.25-2.26, 1 Cd 2.26, 1 Ag 2.28